DFT (PBE) results for crystalline RbMg6Pb6 at its relaxed geometry.

## Properties
Density of states at the Fermi level ... 4.56 states/eV/cell
Energy relative to the elements ... -0.062 eV/atom

a b c (Å): 8.273 8.273 8.273
angles (deg): 135.64 99.65 96.74
Atoms (fractional coordinates):
Rb 0.000 0.000 0.000
Mg 0.000 0.000 0.500
Mg 0.000 0.500 0.000
Mg 0.238 0.500 0.738
Mg 0.500 0.000 0.000
Mg 0.500 0.500 0.500
Mg 0.762 0.500 0.262
Pb 0.185 0.685 0.500
Pb 0.346 0.000 0.346
Pb 0.346 0.346 0.000
Pb 0.654 0.000 0.654
Pb 0.654 0.654 0.000
Pb 0.815 0.315 0.500